[1]
This record from the Alexandria database describes crystalline Si4F at its relaxed geometry. The functional is PBE.

Values from the calculation:
The total energy comes out at -20.531 eV per cell. As for the space group: No. 221. The calculation puts the density of states at the Fermi level at 2.7 states/eV/f.u. The calculation puts the uncorrected formation energy at 606.5 meV/atom. For the magnetization, the calculation gives 0.0 μB/cell.

Unit cell a=4.377 b=4.377 c=4.377 alpha=90.00 beta=90.00 gamma=90.00
Element x y z (fractional)
Si 0.000 0.000 0.000
Si 0.000 0.500 0.500
Si 0.500 0.000 0.500
Si 0.500 0.500 0.000
F 0.500 0.500 0.500

[2]
This record from the Alexandria database describes crystalline CePr2Sm3Se6 at its relaxed geometry. The functional is PBE.

Values from the calculation:
The total energy comes out at -72.515 eV per cell. As for the space group: No. 12. The calculation puts the density of states at the Fermi level at 11.2 states/eV/f.u. The calculation puts the uncorrected formation energy at -1829.8 meV/atom. For the magnetization, the calculation gives 1.2 μB/cell.

Unit cell a=9.411 b=9.411 c=8.471 alpha=103.13 beta=103.13 gamma=25.72
Element x y z (fractional)
Ce 0.000 0.000 0.000
Pr 0.334 0.334 0.668
Pr 0.666 0.666 0.332
Sm 0.000 0.000 0.500
Sm 0.332 0.332 0.165
Sm 0.668 0.668 0.835
Se 0.165 0.165 0.588
Se 0.167 0.167 0.078
Se 0.498 0.498 0.251
Se 0.502 0.502 0.749
Se 0.833 0.833 0.922
Se 0.835 0.835 0.412